# 1
First-principles (GGA-PBE) data for a relaxed LiLaEr2 crystal, as listed in Alexandria.

Unit cell a=3.4861 b=3.4861 c=36.4002 alpha=90.00 beta=90.00 gamma=120.00
Space group R-3m (No. 166, hexagonal axes)
Symmetry-distinct sites (fractional):
Li 0.0000 0.0000 0.0000 (multiplicity 3)
La 0.0000 0.0000 0.5000 (multiplicity 3)
Er 0.0000 0.0000 0.0879 (multiplicity 6)

- uncorrected energy (eV/f.u.) = -15.12
- excess energy over the best structure of this formula in the dataset (eV/atom) = 0.118
- ΔE_f (kJ/mol of atoms) = 20.3

# 2
First-principles (GGA-PBE) data for a relaxed LiLa4Er crystal, as listed in Alexandria.

Unit cell a=3.720 b=3.720 c=14.434 alpha=90.00 beta=90.00 gamma=90.00
Space group P4/mmm (No. 123)
Symmetry-distinct sites (fractional):
Li 0.000 0.000 0.000 (multiplicity 1)
La 0.000 0.000 0.328 (multiplicity 2)
La 0.500 0.500 0.154 (multiplicity 2)
Er 0.500 0.500 0.500 (multiplicity 1)

- uncorrected energy (eV/f.u.) = -25.92
- ΔE_f (kJ/mol of atoms) = 4.3

# 3
First-principles (GGA-PBE) data for a relaxed LiLaEr crystal, as listed in Alexandria.

Unit cell a=3.5355 b=3.5355 c=8.4524 alpha=90.00 beta=90.00 gamma=120.00
Space group P3m1 (No. 156)
Symmetry-distinct sites (fractional):
Li 0.0000 0.0000 0.0000 (multiplicity 1)
La 0.3333 0.6667 0.6597 (multiplicity 1)
Er 0.6667 0.3333 0.3175 (multiplicity 1)

- uncorrected energy (eV/f.u.) = -11.06
- excess energy over the best structure of this formula in the dataset (eV/atom) = 0.026
- ΔE_f (kJ/mol of atoms) = 11.0

# 4
First-principles (GGA-PBE) data for a relaxed LiLaEr crystal, as listed in Alexandria.

Unit cell a=3.763 b=3.763 c=12.350 alpha=90.00 beta=90.00 gamma=90.00
Space group I4mm (No. 107)
Symmetry-distinct sites (fractional):
Li 0.000 0.000 0.000 (multiplicity 2)
La 0.000 0.000 0.336 (multiplicity 2)
Er 0.000 0.000 0.640 (multiplicity 2)

- uncorrected energy (eV/f.u.) = -11.14
- excess energy over the best structure of this formula in the dataset (eV/atom) = 0.000
- ΔE_f (kJ/mol of atoms) = 8.5